Entry 1:
Here is a geometry-optimized AcEuGeBi structure from Alexandria. Energies are from PBE-GGA.

Calculated values
crystal system: cubic
DOS at the Fermi energy: 3.6 states/eV/cell
energy of formation from the pure elements: -571 meV/atom

Cell: 5.647 5.647 5.647 Å, 60.00 60.00 60.00°
Fractional positions:
Ac 0.000 0.000 0.000
Eu 0.500 0.500 0.500
Ge 0.250 0.250 0.250
Bi 0.750 0.750 0.750

Entry 2:
Here is a geometry-optimized Be2TlSiSn structure from Alexandria. Energies are from PBE-GGA.

Calculated values
formation energy from raw total energies: 0.665 eV per atom
crystal system: tetragonal
DOS at the Fermi energy: 2.0 states/eV/cell

Cell: 4.325 4.325 5.787 Å, 90.00 90.00 90.00°
Fractional positions:
Be 0.000 0.500 0.000
Be 0.500 0.000 0.000
Tl 0.000 0.000 0.500
Si 0.500 0.500 0.000
Sn 0.500 0.500 0.500

Entry 3:
Here is a geometry-optimized ScTlTc structure from Alexandria. Energies are from PBE-GGA.

Calculated values
crystal system: orthorhombic
DOS at the Fermi energy: 3.0 states/eV/cell
energy of formation from the pure elements: 207 meV/atom

Cell: 7.227 7.011 3.066 Å, 81.53 73.65 24.81°
Fractional positions:
Sc 0.000 0.000 0.000
Tl 0.308 0.308 0.692
Tc 0.642 0.642 0.358

Entry 4:
Here is a geometry-optimized CoRe3 structure from Alexandria. Energies are from PBE-GGA.

Calculated values
crystal system: hexagonal
DOS at the Fermi energy: 3.6 states/eV/cell
energy of formation from the pure elements: 62 meV/atom

Cell: 2.741 2.741 8.609 Å, 90.00 90.00 120.00°
Fractional positions:
Co 0.000 0.000 0.000
Re 0.000 0.000 0.500
Re 0.333 0.667 0.238
Re 0.333 0.667 0.762